# GGA-PBE Nd2Ho3Er2, relaxed
data_Nd2Ho3Er2
_cell_length_a 3.5678
_cell_length_b 6.1481
_cell_length_c 10.6958
_cell_angle_alpha 95.39
_cell_angle_beta 90.03
_cell_angle_gamma 106.82
_symmetry_space_group_name_H-M 'P -1'
_symmetry_Int_Tables_number 2
loop_
_symmetry_equiv_pos_as_xyz
'x,y,z'
'-x,-y,-z'
loop_
_atom_site_label
_atom_site_fract_x
_atom_site_fract_y
_atom_site_fract_z
Nd1 0.2151 0.4292 0.3545
Ho1 0.3573 0.7153 0.9304
Ho2 0.5000 0.0000 0.5000
Er1 0.0705 0.1410 0.7886
# E = -32.25 eV per cell
# excess energy over the best structure of this formula in the dataset = 0.0000 eV per atom
# magnetization = 0.00 Bohr magnetons per cell